Record 1
Below is an optimized crystal structure of BeFeSiPd, with properties calculated at the GGA-PBE level.

Computed properties:
Total moment   0.3 μB/f.u.
E above lowest polymorph   0.0000 eV/atom

Geometry as CIF:
```
data_BeFeSiPd
_chemical_formula_sum 'Be1 Fe1 Si1 Pd1'
_space_group_name_H-M_alt 'P 1'
_space_group_IT_number 1
_space_group_name_Hall 'P 1'
_cell_length_a 3.977
_cell_length_b 3.977
_cell_length_c 3.977
_cell_angle_alpha 60.00
_cell_angle_beta 60.00
_cell_angle_gamma 60.00
loop_
_atom_site_label
_atom_site_fract_x
_atom_site_fract_y
_atom_site_fract_z
Be1 0.000 0.000 0.000
Fe1 0.750 0.750 0.750
Si1 0.500 0.500 0.500
Pd1 0.250 0.250 0.250
```

Record 2
Below is an optimized crystal structure of BeFeSnPd, with properties calculated at the GGA-PBE level.

Computed properties:
Total moment   1.6 μB/f.u.
E above lowest polymorph   0.0000 eV/atom

Geometry as CIF:
```
data_BeFeSnPd
_chemical_formula_sum 'Be1 Fe1 Sn1 Pd1'
_space_group_name_H-M_alt 'P 1'
_space_group_IT_number 1
_space_group_name_Hall 'P 1'
_cell_length_a 4.311
_cell_length_b 4.311
_cell_length_c 4.311
_cell_angle_alpha 60.00
_cell_angle_beta 60.00
_cell_angle_gamma 60.00
loop_
_atom_site_label
_atom_site_fract_x
_atom_site_fract_y
_atom_site_fract_z
Be1 0.000 0.000 0.000
Fe1 0.750 0.750 0.750
Sn1 0.500 0.500 0.500
Pd1 0.250 0.250 0.250
```

Record 3
Below is an optimized crystal structure of BeTlFePd, with properties calculated at the GGA-PBE level.

Computed properties:
Total moment   2.8 μB/f.u.
E above lowest polymorph   0.0000 eV/atom

Geometry as CIF:
```
data_BeTlFePd
_chemical_formula_sum 'Be1 Tl1 Fe1 Pd1'
_space_group_name_H-M_alt 'P 1'
_space_group_IT_number 1
_space_group_name_Hall 'P 1'
_cell_length_a 4.389
_cell_length_b 4.389
_cell_length_c 4.389
_cell_angle_alpha 60.00
_cell_angle_beta 60.00
_cell_angle_gamma 60.00
loop_
_atom_site_label
_atom_site_fract_x
_atom_site_fract_y
_atom_site_fract_z
Be1 0.000 0.000 0.000
Tl1 0.250 0.250 0.250
Fe1 0.500 0.500 0.500
Pd1 0.750 0.750 0.750
```

Record 4
Below is an optimized crystal structure of BeZnFePd, with properties calculated at the GGA-PBE level.

Computed properties:
Total moment   2.9 μB/f.u.
E above lowest polymorph   0.0468 eV/atom

Geometry as CIF:
```
data_BeZnFePd
_chemical_formula_sum 'Be1 Zn1 Fe1 Pd1'
_space_group_name_H-M_alt 'P 1'
_space_group_IT_number 1
_space_group_name_Hall 'P 1'
_cell_length_a 4.144
_cell_length_b 4.144
_cell_length_c 4.144
_cell_angle_alpha 60.00
_cell_angle_beta 60.00
_cell_angle_gamma 60.00
loop_
_atom_site_label
_atom_site_fract_x
_atom_site_fract_y
_atom_site_fract_z
Be1 0.000 0.000 0.000
Zn1 0.250 0.250 0.250
Fe1 0.500 0.500 0.500
Pd1 0.750 0.750 0.750
```

Record 5
Below is an optimized crystal structure of BeZnFePd, with properties calculated at the GGA-PBE level.

Computed properties:
Total moment   1.9 μB/f.u.
E above lowest polymorph   0.0000 eV/atom

Geometry as CIF:
```
data_BeZnFePd
_chemical_formula_sum 'Be1 Zn1 Fe1 Pd1'
_space_group_name_H-M_alt 'P 1'
_space_group_IT_number 1
_space_group_name_Hall 'P 1'
_cell_length_a 4.104
_cell_length_b 4.104
_cell_length_c 4.104
_cell_angle_alpha 60.00
_cell_angle_beta 60.00
_cell_angle_gamma 60.00
loop_
_atom_site_label
_atom_site_fract_x
_atom_site_fract_y
_atom_site_fract_z
Be1 0.000 0.000 0.000
Zn1 0.500 0.500 0.500
Fe1 0.750 0.750 0.750
Pd1 0.250 0.250 0.250
```

Record 6
Below is an optimized crystal structure of PrBeFe3, with properties calculated at the GGA-PBE level.

Computed properties:
Total moment   4.9 μB/f.u.
E   -31.574 eV per formula unit

Geometry as CIF:
```
data_PrBeFe3
_chemical_formula_sum 'Pr1 Be1 Fe3'
_space_group_name_H-M_alt 'P 1'
_space_group_IT_number 1
_space_group_name_Hall 'P 1'
_cell_length_a 4.174
_cell_length_b 4.174
_cell_length_c 4.174
_cell_angle_alpha 90.00
_cell_angle_beta 90.00
_cell_angle_gamma 90.00
loop_
_atom_site_label
_atom_site_fract_x
_atom_site_fract_y
_atom_site_fract_z
Pr1 0.000 0.000 0.000
Be1 0.500 0.500 0.500
Fe1 0.000 0.500 0.500
Fe2 0.500 0.000 0.500
Fe3 0.500 0.500 0.000
```

Record 7
Below is an optimized crystal structure of Be3Fe2Pt2, with properties calculated at the GGA-PBE level.

Computed properties:
Total moment   4.5 μB/f.u.
E   -42.045 eV per formula unit

Geometry as CIF:
```
data_Be3Fe2Pt2
_chemical_formula_sum 'Be3 Fe2 Pt2'
_space_group_name_H-M_alt 'P 1'
_space_group_IT_number 1
_space_group_name_Hall 'P 1'
_cell_length_a 6.592
_cell_length_b 6.592
_cell_length_c 6.592
_cell_angle_alpha 33.83
_cell_angle_beta 33.83
_cell_angle_gamma 33.83
loop_
_atom_site_label
_atom_site_fract_x
_atom_site_fract_y
_atom_site_fract_z
Be1 0.000 0.000 0.000
Be2 0.245 0.245 0.245
Be3 0.497 0.497 0.497
Fe1 0.120 0.120 0.120
Fe2 0.628 0.628 0.628
Pt1 0.375 0.375 0.375
Pt2 0.874 0.874 0.874
```

Record 8
Below is an optimized crystal structure of BeFeSbPt, with properties calculated at the GGA-PBE level.

Computed properties:
Total moment   1.7 μB/f.u.
E above lowest polymorph   0.0000 eV/atom

Geometry as CIF:
```
data_BeFeSbPt
_chemical_formula_sum 'Be1 Fe1 Sb1 Pt1'
_space_group_name_H-M_alt 'P 1'
_space_group_IT_number 1
_space_group_name_Hall 'P 1'
_cell_length_a 4.333
_cell_length_b 4.333
_cell_length_c 4.333
_cell_angle_alpha 60.00
_cell_angle_beta 60.00
_cell_angle_gamma 60.00
loop_
_atom_site_label
_atom_site_fract_x
_atom_site_fract_y
_atom_site_fract_z
Be1 0.000 0.000 0.000
Fe1 0.750 0.750 0.750
Sb1 0.500 0.500 0.500
Pt1 0.250 0.250 0.250
```